Sc3RuPb (meta-GGA SCAN, PBEsol geometry); VASP energy = -1.1403 hartree per atom; ΔH_f (0 K) = -0.36 eV/atom
1.0
-1.157 2.855 -3.833
-2.314 -3.785 -2.122
-4.182 1.304 2.234
Sc Pb Ru
3 1 1
Direct
0.500 0.000 0.000 Sc
0.000 0.000 0.500 Sc
0.000 0.500 0.000 Sc
0.500 0.500 0.500 Pb
0.000 0.000 0.000 Ru

***

La3Te5 (meta-GGA SCAN, PBEsol geometry); uncorrected formation energy = -1.68 eV/atom; VASP energy = -1.5113 hartree per atom
1.0
6.326 0.000 0.000
0.000 9.590 0.000
0.000 -4.795 8.305
Te La
10 6
Direct
0.750 0.726 0.726 Te
0.000 0.667 0.333 Te
0.500 0.667 0.333 Te
0.750 0.274 0.000 Te
0.500 0.333 0.667 Te
0.250 0.274 0.274 Te
0.250 0.726 0.000 Te
0.000 0.333 0.667 Te
0.750 0.000 0.274 Te
0.250 0.000 0.726 Te
0.250 0.000 0.372 La
0.750 0.000 0.628 La
0.750 0.628 0.000 La
0.750 0.372 0.372 La
0.250 0.372 0.000 La
0.250 0.628 0.628 La

***

NaCe5S8 (meta-GGA SCAN, PBEsol geometry); uncorrected formation energy = -2.21 eV/atom; VASP energy = -0.8794 hartree per atom
1.0
7.260 0.005 0.000
-2.396 6.853 0.000
-2.432 -3.429 5.919
S Ce Na
8 5 1
Direct
0.638 0.881 0.402 S
0.279 0.375 0.246 S
0.479 0.236 0.598 S
0.129 0.034 0.754 S
0.625 0.871 0.904 S
0.764 0.362 0.243 S
0.966 0.721 0.096 S
0.119 0.521 0.757 S
0.369 0.991 0.122 Ce
0.753 0.631 0.622 Ce
0.500 0.500 0.000 Ce
0.009 0.130 0.378 Ce
0.870 0.247 0.878 Ce
0.250 0.750 0.500 Na

***

AlPtW2 (meta-GGA SCAN, PBEsol geometry); VASP energy = -2.0028 hartree per atom; ΔH_f (0 K) = -0.17 eV/atom
1.0
-0.538 -0.855 -4.289
-3.796 -1.707 -1.447
-2.746 2.463 -2.410
Pt Al W
1 1 2
Direct
0.250 0.250 0.250 Pt
0.500 0.500 0.500 Al
0.750 0.750 0.750 W
0.000 0.000 0.000 W

***

TePt2Cl (meta-GGA SCAN, PBEsol geometry); uncorrected formation energy = 0.14 eV/atom; energy relative to the lowest polymorph listed for this composition = 106 meV per atom; VASP energy = -1.7000 hartree per atom
1.0
3.115 0.012 0.000
-0.942 2.969 0.000
0.000 0.000 8.375
Pt Te Cl
2 1 1
Direct
0.500 0.500 0.775 Pt
0.000 0.000 0.992 Pt
0.000 0.000 0.543 Te
0.500 0.500 0.190 Cl

***

Co2RePt (meta-GGA SCAN, PBEsol geometry); energy relative to the lowest polymorph listed for this composition = 101 meV per atom; VASP energy = -1.6125 hartree per atom; ΔH_f (0 K) = 0.10 eV/atom
1.0
3.490 0.000 0.000
0.000 3.763 0.000
0.000 0.000 3.763
Co Pt Re
2 1 1
Direct
0.000 0.500 0.000 Co
0.000 0.000 0.500 Co
0.500 0.500 0.500 Pt
0.500 0.000 0.000 Re